First-principles (PBE) data for an optimized crystal structure of Ac2Ge4Rh3Au, as listed in the Alexandria database.

The structure in CIF format:
```
data_Ac2Ge4Rh3Au
_cell_length_a 4.4519
_cell_length_b 4.4519
_cell_length_c 10.2874
_cell_angle_alpha 90.00
_cell_angle_beta 90.00
_cell_angle_gamma 90.00
_symmetry_space_group_name_H-M 'P -4 m 2'
_symmetry_Int_Tables_number 115
_symmetry_space_group_name_Hall 'P -4 -2'
loop_
_atom_site_label
_atom_site_type_symbol
_atom_site_fract_x
_atom_site_fract_y
_atom_site_fract_z
_atom_site_occupancy
Ac1 Ac 0.0000 0.5000 0.2421 1
Ge1 Ge 0.0000 0.0000 0.0000 1
Ge2 Ge 0.0000 0.5000 0.6355 1
Ge3 Ge 0.5000 0.5000 0.0000 1
Rh1 Rh 0.0000 0.5000 0.8789 1
Rh2 Rh 0.5000 0.5000 0.5000 1
Au1 Au 0.0000 0.0000 0.5000 1
```

Computed properties:
The formation energy comes out at -0.753 eV per atom.